Record 1
First-principles (PBE) data for a geometry-optimized Ac2ScZn3Ga4 structure, as listed in Alexandria via LeMat-Bulk.

Unit cell a=4.464 b=4.464 c=11.152 alpha=90.00 beta=90.00 gamma=90.00
Fractional coordinates of all 10 atoms:
Ac1 0.000 0.500 0.238
Ac2 0.500 0.000 0.762
Sc1 0.000 0.000 0.500
Zn1 0.000 0.500 0.875
Zn2 0.500 0.000 0.125
Zn3 0.500 0.500 0.500
Ga1 0.000 0.000 0.000
Ga2 0.000 0.500 0.644
Ga3 0.500 0.000 0.356
Ga4 0.500 0.500 0.000

Calculated values
electronic total energy = -3.522 eV per atom

=====

Record 2
First-principles (PBE) data for a geometry-optimized RbY2Cu2S4 structure, as listed in Alexandria via LeMat-Bulk.

Unit cell a=7.706 b=7.706 c=8.925 alpha=115.14 beta=115.14 gamma=27.39
Fractional coordinates of all 9 atoms:
Rb1 0.000 0.000 0.000
Y1 0.115 0.115 0.606
Y2 0.885 0.885 0.394
Cu1 0.317 0.317 0.603
Cu2 0.683 0.683 0.397
S1 0.234 0.234 0.282
S2 0.488 0.488 0.672
S3 0.512 0.512 0.328
S4 0.766 0.766 0.718

Calculated values
E_form (uncorrected) = -1163 meV per atom
electronic total energy = -5.451 eV per atom

=====

Record 3
First-principles (PBE) data for a geometry-optimized SrSn4Au structure, as listed in Alexandria via LeMat-Bulk.

Unit cell a=4.093 b=4.172 c=9.822 alpha=86.04 beta=88.84 gamma=87.82
Fractional coordinates of all 6 atoms:
Sr1 0.000 0.000 0.000
Sn1 0.027 0.081 0.646
Sn2 0.483 0.442 0.215
Sn3 0.517 0.558 0.785
Sn4 0.973 0.919 0.354
Au1 0.500 0.500 0.500

Calculated values
electronic total energy = -3.745 eV per atom

=====

Record 4
First-principles (PBE) data for a geometry-optimized YRePt3 structure, as listed in Alexandria via LeMat-Bulk.

Unit cell a=4.857 b=4.857 c=4.857 alpha=90.00 beta=90.00 gamma=90.00
Fractional coordinates of all 5 atoms:
Y1 0.000 0.000 0.000
Re1 0.500 0.500 0.500
Pt1 0.000 0.500 0.500
Pt2 0.500 0.000 0.500
Pt3 0.500 0.500 0.000

Calculated values
polymorph energy (0 for the lowest one) = 0.00 eV/f.u.
electronic total energy = -7.163 eV per atom

=====

Record 5
First-principles (PBE) data for a geometry-optimized Zn3PPd structure, as listed in Alexandria via LeMat-Bulk.

Unit cell a=4.576 b=4.576 c=4.576 alpha=90.00 beta=90.00 gamma=90.00
Fractional coordinates of all 5 atoms:
Zn1 0.000 0.000 0.500
Zn2 0.000 0.500 0.000
Zn3 0.500 0.000 0.000
P1 0.000 0.000 0.000
Pd1 0.500 0.500 0.500

Calculated values
polymorph energy (0 for the lowest one) = 0.00 eV/f.u.
electronic total energy = -2.451 eV per atom

=====

Record 6
First-principles (PBE) data for a geometry-optimized Pa2CoPt structure, as listed in Alexandria via LeMat-Bulk.

Unit cell a=5.882 b=3.994 c=7.593 alpha=90.00 beta=111.71 gamma=90.00
Fractional coordinates of all 8 atoms:
Pa1 0.194 0.250 0.424
Pa2 0.259 0.750 0.052
Pa3 0.741 0.250 0.948
Pa4 0.806 0.750 0.576
Co1 0.086 0.250 0.784
Co2 0.914 0.750 0.216
Pt1 0.401 0.750 0.716
Pt2 0.599 0.250 0.284

Calculated values
polymorph energy (0 for the lowest one) = 0.00 eV/f.u.
electronic total energy = -8.641 eV per atom

=====

Record 7
First-principles (PBE) data for a geometry-optimized MgZrRe2 structure, as listed in Alexandria via LeMat-Bulk.

Unit cell a=2.713 b=2.713 c=9.344 alpha=90.00 beta=90.00 gamma=90.00
Fractional coordinates of all 4 atoms:
Mg1 0.000 0.000 0.000
Zr1 0.000 0.000 0.500
Re1 0.500 0.500 0.240
Re2 0.500 0.500 0.760

Calculated values
electronic total energy = -8.393 eV per atom

=====

Record 8
First-principles (PBE) data for a geometry-optimized Ba2AsPt structure, as listed in Alexandria via LeMat-Bulk.

Unit cell a=8.814 b=8.814 c=8.814 alpha=150.31 beta=149.99 gamma=42.72
Fractional coordinates of all 4 atoms:
Ba1 0.000 0.000 0.000
Ba2 0.720 0.220 0.500
As1 0.577 0.577 0.000
Pt1 0.139 0.639 0.500

Calculated values
electronic total energy = -4.411 eV per atom